1.
# Rb2AcAsS4 (GGA-PBE, relaxed)
# ΔE_f (raw) (eV per formula unit): -8.715
# Fermi-level density of states (states/eV/atom): 0.000
# VASP energy (eV per formula unit): -35.92
data_Rb2AcAsS4
_symmetry_space_group_name_H-M 'I m m a'
_symmetry_Int_Tables_number 74
_symmetry_space_group_name_Hall '-I 2b 2'
_cell_length_a 8.430
_cell_length_b 8.952
_cell_length_c 12.246
_cell_angle_alpha 90.00
_cell_angle_beta 90.00
_cell_angle_gamma 90.00
loop_
_atom_site_label
_atom_site_type_symbol
_atom_site_fract_x
_atom_site_fract_y
_atom_site_fract_z
Rb1 Rb 0.000 0.000 0.000
Rb2 Rb 0.250 0.250 0.250
Ac1 Ac 0.000 0.000 0.500
As1 As 0.250 0.250 0.750
S1 S 0.000 0.052 0.742
S2 S 0.229 0.250 0.529

---

2.
# Rb2AcAs2S6 (GGA-PBE, relaxed)
# ΔE_f (raw) (eV per formula unit): -9.536
# Fermi-level density of states (states/eV/atom): 0.400
# VASP energy (eV per formula unit): -49.64
data_Rb2AcAs2S6
_symmetry_space_group_name_H-M 'C 1 2/m 1'
_symmetry_Int_Tables_number 12
_cell_length_a 12.394
_cell_length_b 7.335
_cell_length_c 8.832
_cell_angle_alpha 90.00
_cell_angle_beta 118.67
_cell_angle_gamma 90.00
loop_
_symmetry_equiv_pos_as_xyz
'x,y,z'
'-x,-y,-z'
'-x,y,-z'
'x,-y,z'
'x+1/2,y+1/2,z'
'-x+1/2,-y+1/2,-z'
'-x+1/2,y+1/2,-z'
'x+1/2,-y+1/2,z'
loop_
_atom_site_label
_atom_site_type_symbol
_atom_site_fract_x
_atom_site_fract_y
_atom_site_fract_z
Rb1 Rb 0.203 0.000 0.183
Ac1 Ac 0.000 0.000 0.500
As1 As 0.043 0.500 0.184
S1 S 0.054 0.253 0.795
S2 S 0.238 0.500 0.394

---

3.
# Rb2AcAsSe4 (GGA-PBE, relaxed)
# ΔE_f (raw) (eV per formula unit): -8.552
# VASP energy (eV per formula unit): -33.18
data_Rb2AcAsSe4
_symmetry_space_group_name_H-M 'I m m a'
_symmetry_Int_Tables_number 74
_symmetry_space_group_name_Hall '-I 2b 2'
_cell_length_a 8.790
_cell_length_b 9.293
_cell_length_c 12.759
_cell_angle_alpha 90.00
_cell_angle_beta 90.00
_cell_angle_gamma 90.00
loop_
_atom_site_label
_atom_site_type_symbol
_atom_site_fract_x
_atom_site_fract_y
_atom_site_fract_z
Rb1 Rb 0.000 0.000 0.000
Rb2 Rb 0.250 0.250 0.250
Ac1 Ac 0.000 0.000 0.500
As1 As 0.250 0.250 0.750
Se1 Se 0.000 0.051 0.742
Se2 Se 0.231 0.250 0.527

---

4.
# Rb2AcAs2Se6 (GGA-PBE, relaxed)
# ΔE_f (raw) (eV per formula unit): -8.726
# Fermi-level density of states (states/eV/atom): 0.346
# VASP energy (eV per formula unit): -44.98
data_Rb2AcAs2Se6
_symmetry_space_group_name_H-M 'C 1 2/m 1'
_symmetry_Int_Tables_number 12
_cell_length_a 12.908
_cell_length_b 7.624
_cell_length_c 9.163
_cell_angle_alpha 90.00
_cell_angle_beta 118.53
_cell_angle_gamma 90.00
loop_
_symmetry_equiv_pos_as_xyz
'x,y,z'
'-x,-y,-z'
'-x,y,-z'
'x,-y,z'
'x+1/2,y+1/2,z'
'-x+1/2,-y+1/2,-z'
'-x+1/2,y+1/2,-z'
'x+1/2,-y+1/2,z'
loop_
_atom_site_label
_atom_site_type_symbol
_atom_site_fract_x
_atom_site_fract_y
_atom_site_fract_z
Rb1 Rb 0.203 0.000 0.191
Ac1 Ac 0.000 0.000 0.500
As1 As 0.038 0.500 0.175
Se1 Se 0.061 0.245 0.805
Se2 Se 0.239 0.500 0.390

---

5.
# AcReAs2 (GGA-PBE, relaxed)
# Fermi-level density of states (states/eV/atom): 0.388
# DFT formation energy (eV per atom): -0.49
# VASP energy (eV per formula unit): -27.83
data_AcReAs2
_symmetry_space_group_name_H-M 'R -3 m'
_symmetry_Int_Tables_number 166
_symmetry_space_group_name_Hall '-R 3 2"'
_cell_length_a 4.3766
_cell_length_b 4.3766
_cell_length_c 15.8946
_cell_angle_alpha 90.00
_cell_angle_beta 90.00
_cell_angle_gamma 120.00
loop_
_atom_site_label
_atom_site_type_symbol
_atom_site_fract_x
_atom_site_fract_y
_atom_site_fract_z
Ac1 Ac 0.0000 0.0000 0.0000
Re1 Re 0.0000 0.0000 0.5000
As1 As 0.0000 0.0000 0.2119

---

6.
# AcReAs3 (GGA-PBE, relaxed)
# Fermi-level density of states (states/eV/atom): 0.884
# DFT formation energy (eV per atom): -0.14
# VASP energy (eV per formula unit): -31.22
data_AcReAs3
_symmetry_space_group_name_H-M 'P m -3 m'
_symmetry_Int_Tables_number 221
_symmetry_space_group_name_Hall '-P 4 2 3'
_cell_length_a 4.929
_cell_length_b 4.929
_cell_length_c 4.929
_cell_angle_alpha 90.00
_cell_angle_beta 90.00
_cell_angle_gamma 90.00
loop_
_atom_site_label
_atom_site_type_symbol
_atom_site_fract_x
_atom_site_fract_y
_atom_site_fract_z
Ac1 Ac 0.000 0.000 0.000
Re1 Re 0.500 0.500 0.500
As1 As 0.000 0.500 0.500

---

Number 3 is which compound? Rb2AcAsSe4

---

Which formula does entry 1 have? Rb2AcAsS4

---

The lowest VASP energy belongs to which entry? Rb2AcAs2S6